Record 1
DFT (PBE) results for a geometry-optimized Ac2Ga4Rh3Au structure.

**ΔH_f (0 K)**: -0.729 eV/atom
**SG**: P-4m2, No. 115

Cell lengths 4.4472, 4.4472, 10.3901 Å; angles 90.00, 90.00, 90.00 degrees
With the nearest neighbours (Å) after each atom.
Element x y z (fractional)
Ac  0.5000  0.0000  0.2501  8 Ga 3.38-3.42, 6 Rh 3.41-3.42, 2 Au 3.42
Ac  0.0000  0.5000  0.7499  8 Ga 3.38-3.42, 6 Rh 3.41-3.42, 2 Au 3.42
Ga  0.5000  0.5000  0.0000  4 Rh 2.57
Ga  0.0000  0.0000  0.0000  4 Rh 2.57
Ga  0.5000  0.0000  0.6312  3 Rh 2.55-2.61, 2 Au 2.61
Ga  0.0000  0.5000  0.3688  3 Rh 2.55-2.61, 2 Au 2.61
Rh  0.0000  0.0000  0.5000  4 Ga 2.61
Rh  0.5000  0.0000  0.8768  5 Ga 2.55-2.57
Rh  0.0000  0.5000  0.1232  5 Ga 2.55-2.57
Au  0.5000  0.5000  0.5000  4 Ga 2.61


Record 2
DFT (PBE) results for a geometry-optimized Ac2Ga4SbAu3 structure.

**E_form (uncorrected)**: -0.630 eV/atom
**SG**: P-4m2, No. 115

Cell lengths 4.6261, 4.6261, 10.8213 Å; angles 90.00, 90.00, 90.00 degrees
With the nearest neighbours (Å) after each atom.
Element x y z (fractional)
Ac  0.5000  0.0000  0.2419  8 Ga 3.49-3.50, 6 Au 3.52-3.63, 2 Sb 3.63
Ac  0.0000  0.5000  0.7581  8 Ga 3.49-3.50, 6 Au 3.52-3.63, 2 Sb 3.63
Ga  0.5000  0.5000  0.0000  4 Au 2.67
Ga  0.0000  0.0000  0.0000  4 Au 2.67
Ga  0.5000  0.0000  0.6426  3 Au 2.54-2.78, 2 Sb 2.78
Ga  0.0000  0.5000  0.3574  3 Au 2.54-2.78, 2 Sb 2.78
Sb  0.5000  0.5000  0.5000  4 Ga 2.78
Au  0.0000  0.0000  0.5000  4 Ga 2.78
Au  0.5000  0.0000  0.8773  5 Ga 2.54-2.67
Au  0.0000  0.5000  0.1227  5 Ga 2.54-2.67


Record 3
DFT (PBE) results for a geometry-optimized Ac3GaSb2Au6 structure.

**E_form (uncorrected)**: -0.601 eV/atom
**SG**: P-3m1, No. 164

Cell lengths 6.4555, 6.4555, 8.7896 Å; angles 90.00, 90.00, 120.00 degrees
With the nearest neighbours (Å) after each atom.
Element x y z (fractional)
Ac  0.3333  0.6667  0.6396  9 Au 3.27-3.48, 1 Sb 3.58
Ac  0.6667  0.3333  0.3604  9 Au 3.27-3.48, 1 Sb 3.58
Ac  0.0000  0.0000  0.0000  6 Au 3.27
Ga  0.0000  0.0000  0.5000  6 Au 2.64
Sb  0.6667  0.3333  0.9535  3 Au 2.84
Sb  0.3333  0.6667  0.0465  3 Au 2.84
Au  0.6506  0.8253  0.2984  1 Ga 2.64, 1 Sb 2.84
Au  0.1747  0.3494  0.2984  1 Ga 2.64, 1 Sb 2.84
Au  0.1747  0.8253  0.2984  1 Ga 2.64, 1 Sb 2.84
Au  0.8253  0.6506  0.7016  1 Ga 2.64, 1 Sb 2.84
Au  0.3494  0.1747  0.7016  1 Ga 2.64, 1 Sb 2.84
Au  0.8253  0.1747  0.7016  1 Ga 2.64, 1 Sb 2.84


Record 4
DFT (PBE) results for a geometry-optimized AcScGa2Au2 structure.

**ΔH_f (0 K)**: -0.765 eV/atom
**SG**: P-3m1, No. 164

Cell lengths 4.5372, 4.5372, 7.5157 Å; angles 90.00, 90.00, 120.00 degrees
With the nearest neighbours (Å) after each atom.
Element x y z (fractional)
Ac  0.0000  0.0000  0.0000  6 Ga 3.48, 6 Au 3.48, 2 Sc 3.76
Sc  0.0000  0.0000  0.5000  6 Au 3.00, 6 Ga 3.01
Ga  0.6667  0.3333  0.6960  3 Au 2.62
Ga  0.3333  0.6667  0.3040  3 Au 2.62
Au  0.6667  0.3333  0.3048  3 Ga 2.62
Au  0.3333  0.6667  0.6952  3 Ga 2.62


Record 5
DFT (PBE) results for a geometry-optimized Ac2ScGa4Au3 structure.

**ΔH_f (0 K)**: -0.662 eV/atom
**SG**: P-4m2, No. 115

Cell lengths 4.4586, 4.4586, 11.5287 Å; angles 90.00, 90.00, 90.00 degrees
With the nearest neighbours (Å) after each atom.
Element x y z (fractional)
Ac  0.5000  0.0000  0.2430  8 Ga 3.41-3.58, 6 Au 3.42-3.71, 2 Sc 3.71
Ac  0.0000  0.5000  0.7570  8 Ga 3.41-3.58, 6 Au 3.42-3.71, 2 Sc 3.71
Sc  0.5000  0.5000  0.5000  4 Ga 2.79
Ga  0.5000  0.5000  0.0000  4 Au 2.67
Ga  0.0000  0.0000  0.0000  4 Au 2.67
Ga  0.5000  0.0000  0.6449  3 Au 2.62-2.79, 2 Sc 2.79
Ga  0.0000  0.5000  0.3551  3 Au 2.62-2.79, 2 Sc 2.79
Au  0.0000  0.0000  0.5000  4 Ga 2.79
Au  0.5000  0.0000  0.8721  5 Ga 2.62-2.67
Au  0.0000  0.5000  0.1279  5 Ga 2.62-2.67


Record 6
DFT (PBE) results for a geometry-optimized AcGaSi2Au6 structure.

**E_form (uncorrected)**: -0.128 eV/atom
**SG**: R-3, No. 148

Cell lengths 6.7242, 6.7242, 7.9745 Å; angles 65.06, 65.06, 60.00 degrees
With the nearest neighbours (Å) after each atom.
Element x y z (fractional)
Ac  0.0000  0.0000  0.0000  6 Au 3.36
Ga  0.5000  0.5000  0.5000  6 Au 2.63
Si  0.7112  0.7112  0.8664  3 Au 2.35
Si  0.2888  0.2888  0.1336  3 Au 2.35
Au  0.1260  0.4896  0.7945  1 Si 2.35, 1 Ga 2.63
Au  0.5898  0.1260  0.7945  1 Si 2.35, 1 Ga 2.63
Au  0.5104  0.4102  0.2055  1 Si 2.35, 1 Ga 2.63
Au  0.8740  0.5104  0.2055  1 Si 2.35, 1 Ga 2.63
Au  0.4102  0.8740  0.2055  1 Si 2.35, 1 Ga 2.63
Au  0.4896  0.5898  0.7945  1 Si 2.35, 1 Ga 2.63


no.,total magnetization (μB/cell)
1,0.000
2,0.000
3,0.000
4,0.000
5,0.000
6,0.000